# Cs3Cu2AgCl8 | the Alexandria database | PBE | optimized geometry
data_Cs3Cu2AgCl8
_chemical_formula_sum 'Cs3 Cu2 Ag1 Cl8'
_cell_length_a 7.2931
_cell_length_b 7.2931
_cell_length_c 9.5979
_cell_angle_alpha 90.00
_cell_angle_beta 90.00
_cell_angle_gamma 120.00
_symmetry_space_group_name_H-M 'P -3 m 1'
_symmetry_Int_Tables_number 164
_symmetry_space_group_name_Hall '-P 3 2"'
loop_
_atom_site_label
_atom_site_fract_x
_atom_site_fract_y
_atom_site_fract_z
Cs1 0.0000 0.0000 0.0000
Cs2 0.3333 0.6667 0.6463
Cu1 0.3333 0.6667 0.2299
Ag1 0.0000 0.0000 0.5000
Cl1 0.1669 0.3339 0.3298
Cl2 0.3333 0.6667 0.0017
# E_tot	-3.18	eV per atom